Entry 1:
# Sb2O5 (PBE, optimized geometry)
# energy above the most stable polymorph in this dataset = 0.581 eV per formula unit
# density of states at the Fermi level = 0.142 states/eV/atom
# formation energy without anion corrections = -1.165 eV per atom
# density = 5.4 g cm⁻³
data_Sb2O5
_symmetry_space_group_name_H-M 'C m m m'
_symmetry_Int_Tables_number 65
_symmetry_space_group_name_Hall '-C 2 2'
_cell_length_a 3.965
_cell_length_b 12.988
_cell_length_c 3.842
_cell_angle_alpha 90.00
_cell_angle_beta 90.00
_cell_angle_gamma 90.00
loop_
_atom_site_label
_atom_site_type_symbol
_atom_site_fract_x
_atom_site_fract_y
_atom_site_fract_z
Sb1 Sb 0.000 0.148 0.000
O1 O 0.000 0.000 0.000
O2 O 0.000 0.152 0.500
O3 O 0.000 0.312 0.000

=====

Entry 2:
# HfSc2Al (PBE, optimized geometry)
# density of states at the Fermi level = 0.785 states/eV/atom
# formation energy from the elements = 0.26 eV per atom
# density = 5.5 g cm⁻³
data_HfSc2Al
_symmetry_space_group_name_H-M 'I -4 2 d'
_symmetry_Int_Tables_number 122
_symmetry_space_group_name_Hall 'I -4 2bw'
_cell_length_a 7.829
_cell_length_b 7.829
_cell_length_c 5.838
_cell_angle_alpha 90.00
_cell_angle_beta 90.00
_cell_angle_gamma 90.00
loop_
_atom_site_label
_atom_site_type_symbol
_atom_site_fract_x
_atom_site_fract_y
_atom_site_fract_z
Hf1 Hf 0.000 0.000 0.000
Sc1 Sc 0.225 0.250 0.625
Al1 Al 0.000 0.000 0.500

=====

Entry 3:
# SrBr5 (PBE, optimized geometry)
# energy above the most stable polymorph in this dataset = 0.000 eV per formula unit
# density of states at the Fermi level = 0.537 states/eV/atom
# formation energy without anion corrections = -0.949 eV per atom
# density = 3.5 g cm⁻³
data_SrBr5
_symmetry_space_group_name_H-M 'C 1 m 1'
_symmetry_Int_Tables_number 8
_symmetry_space_group_name_Hall 'C -2y'
_cell_length_a 10.931
_cell_length_b 4.414
_cell_length_c 10.825
_cell_angle_alpha 90.00
_cell_angle_beta 118.06
_cell_angle_gamma 90.00
loop_
_atom_site_label
_atom_site_type_symbol
_atom_site_fract_x
_atom_site_fract_y
_atom_site_fract_z
Sr1 Sr 0.000 0.000 0.000
Br1 Br 0.081 0.500 0.234
Br2 Br 0.212 0.500 0.011
Br3 Br 0.313 0.000 0.790
Br4 Br 0.420 0.000 0.603
Br5 Br 0.436 0.000 0.384

=====

Entry 4:
# K2AgH2 (PBE, optimized geometry)
# energy above the most stable polymorph in this dataset = 1.869 eV per formula unit
# density of states at the Fermi level = 0.378 states/eV/atom
# density = 2.4 g cm⁻³
data_K2AgH2
_symmetry_space_group_name_H-M 'I 4/m m m'
_symmetry_Int_Tables_number 139
_symmetry_space_group_name_Hall '-I 4 2'
_cell_length_a 3.962
_cell_length_b 3.962
_cell_length_c 16.449
_cell_angle_alpha 90.00
_cell_angle_beta 90.00
_cell_angle_gamma 90.00
loop_
_atom_site_label
_atom_site_type_symbol
_atom_site_fract_x
_atom_site_fract_y
_atom_site_fract_z
K1 K 0.000 0.000 0.149
Ag1 Ag 0.000 0.000 0.500
H1 H 0.000 0.500 0.250